VASP calculation (PBE) on a relaxed structure of AcLaTh2.

abc: 8.3153 8.3153 8.3153
angles: 90.00 90.00 90.00
Fractional coordinates of all 16 atoms:
1 Ac 0.0000 0.0000 0.0000
2 Ac 0.0000 0.5000 0.5000
3 Ac 0.5000 0.0000 0.5000
4 Ac 0.5000 0.5000 0.0000
5 La 0.0000 0.0000 0.5000
6 La 0.0000 0.5000 0.0000
7 La 0.5000 0.0000 0.0000
8 La 0.5000 0.5000 0.5000
9 Th 0.2500 0.2500 0.2500
10 Th 0.2500 0.2500 0.7500
11 Th 0.2500 0.7500 0.2500
12 Th 0.2500 0.7500 0.7500
13 Th 0.7500 0.2500 0.2500
14 Th 0.7500 0.2500 0.7500
15 Th 0.7500 0.7500 0.2500
16 Th 0.7500 0.7500 0.7500

Calculated values
- Total magnetization: 0.00 μB/cell
- E_form: 295 meV/atom
- Calculated total energy: -90.78 eV for the cell shown
- Polymorph energy (0 for the lowest one): 0.1842 eV per atom

=====

VASP calculation (PBE) on a relaxed structure of AcLaTh2.

abc: 3.6916 3.6916 36.4336
angles: 90.00 90.00 120.00
Fractional coordinates of all 12 atoms:
1 Ac 0.0000 0.0000 0.0000
2 Ac 0.3333 0.6667 0.6667
3 Ac 0.6667 0.3333 0.3333
4 La 0.0000 0.0000 0.1691
5 La 0.3333 0.6667 0.8358
6 La 0.6667 0.3333 0.5025
7 Th 0.0000 0.0000 0.5823
8 Th 0.0000 0.0000 0.7529
9 Th 0.3333 0.6667 0.2489
10 Th 0.3333 0.6667 0.4196
11 Th 0.6667 0.3333 0.0862
12 Th 0.6667 0.3333 0.9156

Calculated values
- Total magnetization: 0.00 μB/cell
- E_form: 114 meV/atom
- Calculated total energy: -70.26 eV for the cell shown
- Polymorph energy (0 for the lowest one): 0.0032 eV per atom

=====

VASP calculation (PBE) on a relaxed structure of Ac2La7Th.

abc: 15.4833 15.4833 3.6015
angles: 90.00 90.00 154.02
Fractional coordinates of all 10 atoms:
1 Ac 0.2077 0.7923 0.0000
2 Ac 0.7923 0.2077 0.0000
3 La 0.1310 0.3194 0.0000
4 La 0.3166 0.6834 0.5000
5 La 0.3194 0.1310 0.0000
6 La 0.5000 0.5000 0.0000
7 La 0.6806 0.8690 0.0000
8 La 0.6834 0.3166 0.5000
9 La 0.8690 0.6806 0.0000
10 Th 0.0000 0.0000 0.5000

Calculated values
- Total magnetization: 0.00 μB/cell
- E_form: 146 meV/atom
- Calculated total energy: -48.66 eV for the cell shown

=====

VASP calculation (PBE) on a relaxed structure of Ac3La8Th.

abc: 9.1208 9.1208 9.1208
angles: 136.41 99.24 96.61
Fractional coordinates of all 12 atoms:
1 Ac 0.0000 0.0000 0.0000
2 Ac 0.2720 0.5000 0.7720
3 Ac 0.7280 0.5000 0.2280
4 La 0.0843 0.8261 0.2582
5 La 0.2694 0.0426 0.7732
6 La 0.2694 0.4963 0.2268
7 La 0.4320 0.1739 0.2582
8 La 0.5680 0.8261 0.7418
9 La 0.7306 0.5037 0.7732
10 La 0.7306 0.9574 0.2268
11 La 0.9157 0.1739 0.7418
12 Th 0.5000 0.0000 0.5000

Calculated values
- Total magnetization: 0.00 μB/cell
- E_form: 225 meV/atom
- Calculated total energy: -56.46 eV for the cell shown

=====

VASP calculation (PBE) on a relaxed structure of AcLa2Th.

abc: 3.7464 3.7464 36.9037
angles: 90.00 90.00 120.00
Fractional coordinates of all 12 atoms:
1 Ac 0.0000 0.0000 0.0000
2 Ac 0.3333 0.6667 0.6667
3 Ac 0.6667 0.3333 0.3333
4 La 0.0000 0.0000 0.5781
5 La 0.0000 0.0000 0.7559
6 La 0.3333 0.6667 0.2448
7 La 0.3333 0.6667 0.4225
8 La 0.6667 0.3333 0.0892
9 La 0.6667 0.3333 0.9115
10 Th 0.0000 0.0000 0.1672
11 Th 0.3333 0.6667 0.8339
12 Th 0.6667 0.3333 0.5006

Calculated values
- Total magnetization: 0.00 μB/cell
- E_form: 41 meV/atom
- Calculated total energy: -63.66 eV for the cell shown
- Polymorph energy (0 for the lowest one): 0.0120 eV per atom

=====

VASP calculation (PBE) on a relaxed structure of AcLaTh.

abc: 3.7380 3.7380 9.2958
angles: 90.00 90.00 120.00
Fractional coordinates of all 3 atoms:
1 Ac 0.0000 0.0000 0.0000
2 La 0.6667 0.3333 0.3684
3 Th 0.3333 0.6667 0.6759

Calculated values
- Total magnetization: 0.00 μB/cell
- E_form: 75 meV/atom
- Calculated total energy: -16.23 eV for the cell shown
- Polymorph energy (0 for the lowest one): 0.0319 eV per atom

=====

VASP calculation (PBE) on a relaxed structure of Ac2LaTh.

abc: 3.7829 3.7829 10.9300
angles: 90.00 90.00 90.00
Fractional coordinates of all 4 atoms:
1 Ac 0.0000 0.0000 0.2377
2 Ac 0.0000 0.0000 0.7623
3 La 0.5000 0.5000 0.5000
4 Th 0.5000 0.5000 0.0000

Calculated values
- Total magnetization: 0.00 μB/cell
- E_form: 92 meV/atom
- Calculated total energy: -20.19 eV for the cell shown
- Polymorph energy (0 for the lowest one): 0.0044 eV per atom

=====

VASP calculation (PBE) on a relaxed structure of Ac2La5Th.

abc: 9.8297 9.8297 17.9465
angles: 90.00 90.00 158.75
Fractional coordinates of all 16 atoms:
1 Ac 0.0602 0.9398 0.6446
2 Ac 0.0602 0.9398 0.8554
3 Ac 0.9398 0.0602 0.1446
4 Ac 0.9398 0.0602 0.3554
5 La 0.1061 0.8939 0.0552
6 La 0.1061 0.8939 0.4448
7 La 0.2546 0.7454 0.7500
8 La 0.2792 0.7208 0.0797
9 La 0.2792 0.7208 0.4203
10 La 0.7208 0.2792 0.5797
11 La 0.7208 0.2792 0.9203
12 La 0.7454 0.2546 0.2500
13 La 0.8939 0.1061 0.5552
14 La 0.8939 0.1061 0.9448
15 Th 0.0887 0.9113 0.2500
16 Th 0.9113 0.0887 0.7500

Calculated values
- Total magnetization: 0.00 μB/cell
- E_form: 277 meV/atom
- Calculated total energy: -76.12 eV for the cell shown

=====

VASP calculation (PBE) on a relaxed structure of AcLa2Th.

abc: 5.2789 5.2789 5.2550
angles: 90.00 90.00 90.00
Fractional coordinates of all 4 atoms:
1 Ac 0.0000 0.0000 0.0000
2 La 0.0000 0.5000 0.5000
3 La 0.5000 0.0000 0.5000
4 Th 0.5000 0.5000 0.0000

Calculated values
- Total magnetization: 0.00 μB/cell
- E_form: 81 meV/atom
- Calculated total energy: -21.06 eV for the cell shown
- Polymorph energy (0 for the lowest one): 0.0525 eV per atom

=====

VASP calculation (PBE) on a relaxed structure of AcLa2Th.

abc: 3.7476 3.7476 24.4951
angles: 90.00 90.00 120.00
Fractional coordinates of all 8 atoms:
1 Ac 0.3333 0.6667 0.2500
2 Ac 0.6667 0.3333 0.7500
3 La 0.3333 0.6667 0.6170
4 La 0.3333 0.6667 0.8830
5 La 0.6667 0.3333 0.1170
6 La 0.6667 0.3333 0.3830
7 Th 0.0000 0.0000 0.0000
8 Th 0.0000 0.0000 0.5000

Calculated values
- Total magnetization: 0.00 μB/cell
- E_form: 42 meV/atom
- Calculated total energy: -42.43 eV for the cell shown
- Polymorph energy (0 for the lowest one): 0.0134 eV per atom

=====

VASP calculation (PBE) on a relaxed structure of Ac5La8Th.

abc: 8.6997 8.7019 8.8752
angles: 107.99 107.08 107.71
Fractional coordinates of all 14 atoms:
1 Ac 0.0000 0.0000 0.0000
2 Ac 0.0353 0.6984 0.2221
3 Ac 0.4549 0.1573 0.4103
4 Ac 0.6605 0.2152 0.0747
5 Ac 0.9253 0.3361 0.7691
6 La 0.1259 0.3375 0.4433
7 La 0.2024 0.1072 0.6986
8 La 0.2245 0.7376 0.6395
9 La 0.3251 0.7799 0.0045
10 La 0.3783 0.4870 0.1879
11 La 0.5780 0.8716 0.6122
12 La 0.5822 0.5633 0.8564
13 La 0.8021 0.6186 0.5366
14 Th 0.7596 0.9314 0.3160

Calculated values
- Total magnetization: 0.00 μB/cell
- E_form: 112 meV/atom
- Calculated total energy: -65.81 eV for the cell shown

=====

VASP calculation (PBE) on a relaxed structure of Ac4La3Th.

abc: 26.9735 3.6824 6.5628
angles: 90.00 94.39 90.00
Fractional coordinates of all 16 atoms:
1 Ac 0.1389 0.0000 0.2411
2 Ac 0.2178 0.5000 0.7398
3 Ac 0.2822 0.0000 0.2602
4 Ac 0.3611 0.5000 0.7589
5 Ac 0.6389 0.5000 0.2411
6 Ac 0.7178 0.0000 0.7398
7 Ac 0.7822 0.5000 0.2602
8 Ac 0.8611 0.0000 0.7589
9 La 0.0000 0.0000 0.0000
10 La 0.0982 0.0000 0.7256
11 La 0.4018 0.5000 0.2744
12 La 0.5000 0.5000 0.0000
13 La 0.5982 0.5000 0.7256
14 La 0.9018 0.0000 0.2744
15 Th 0.0000 0.5000 0.5000
16 Th 0.5000 0.0000 0.5000

Calculated values
- Total magnetization: 0.00 μB/cell
- E_form: 195 meV/atom
- Calculated total energy: -74.16 eV for the cell shown

=====

VASP calculation (PBE) on a relaxed structure of AcLaTh.

abc: 12.2138 3.7008 10.1932
angles: 90.00 95.36 90.00
Fractional coordinates of all 12 atoms:
1 Ac 0.1434 0.0000 0.1078
2 Ac 0.3566 0.5000 0.8922
3 Ac 0.6434 0.5000 0.1078
4 Ac 0.8566 0.0000 0.8922
5 La 0.1061 0.0000 0.7153
6 La 0.3939 0.5000 0.2847
7 La 0.6061 0.5000 0.7153
8 La 0.8939 0.0000 0.2847
9 Th 0.1331 0.5000 0.4260
10 Th 0.3669 0.0000 0.5740
11 Th 0.6331 0.0000 0.4260
12 Th 0.8669 0.5000 0.5740

Calculated values
- Total magnetization: 0.00 μB/cell
- E_form: 100 meV/atom
- Calculated total energy: -64.63 eV for the cell shown
- Polymorph energy (0 for the lowest one): 0.0566 eV per atom

=====

VASP calculation (PBE) on a relaxed structure of Ac7La12Th.

abc: 11.9878 11.9878 11.9878
angles: 116.59 116.59 116.59
Fractional coordinates of all 20 atoms:
1 Ac 0.0000 0.0000 0.0000
2 Ac 0.1171 0.3768 0.3770
3 Ac 0.3770 0.1171 0.3768
4 Ac 0.3768 0.3770 0.1171
5 Ac 0.6232 0.6230 0.8829
6 Ac 0.6230 0.8829 0.6232
7 Ac 0.8829 0.6232 0.6230
8 La 0.0016 0.5994 0.4041
9 La 0.0800 0.4446 0.0809
10 La 0.0809 0.0800 0.4446
11 La 0.4006 0.5959 0.9984
12 La 0.4041 0.0016 0.5994
13 La 0.4446 0.0809 0.0800
14 La 0.5554 0.9191 0.9200
15 La 0.5959 0.9984 0.4006
16 La 0.5994 0.4041 0.0016
17 La 0.9191 0.9200 0.5554
18 La 0.9200 0.5554 0.9191
19 La 0.9984 0.4006 0.5959
20 Th 0.5000 0.5000 0.5000

Calculated values
- Total magnetization: 0.00 μB/cell
- E_form: 274 meV/atom
- Calculated total energy: -89.83 eV for the cell shown

=====

VASP calculation (PBE) on a relaxed structure of AcLaTh.

abc: 3.7346 3.7346 16.1856
angles: 90.00 90.00 90.00
Fractional coordinates of all 6 atoms:
1 Ac 0.2500 0.2500 0.0915
2 Ac 0.7500 0.7500 0.9085
3 La 0.2500 0.2500 0.7269
4 La 0.7500 0.7500 0.2731
5 Th 0.2500 0.2500 0.4279
6 Th 0.7500 0.7500 0.5721

Calculated values
- Total magnetization: 0.00 μB/cell
- E_form: 43 meV/atom
- Calculated total energy: -32.65 eV for the cell shown
- Polymorph energy (0 for the lowest one): 0.0000 eV per atom

=====

VASP calculation (PBE) on a relaxed structure of AcLaTh.

abc: 4.3941 4.3941 11.6709
angles: 90.00 90.00 90.00
Fractional coordinates of all 6 atoms:
1 Ac 0.0000 0.0000 0.0000
2 Ac 0.5000 0.5000 0.5000
3 La 0.0000 0.0000 0.3114
4 La 0.5000 0.5000 0.8114
5 Th 0.0000 0.0000 0.6830
6 Th 0.5000 0.5000 0.1830

Calculated values
- Total magnetization: 0.00 μB/cell
- E_form: 190 meV/atom
- Calculated total energy: -31.77 eV for the cell shown
- Polymorph energy (0 for the lowest one): 0.1469 eV per atom

=====

VASP calculation (PBE) on a relaxed structure of Ac3La12Th.

abc: 5.3041 5.3041 21.3585
angles: 90.00 90.00 90.00
Fractional coordinates of all 16 atoms:
1 Ac 0.0000 0.0000 0.0000
2 Ac 0.0000 0.0000 0.2525
3 Ac 0.0000 0.0000 0.7475
4 La 0.0000 0.5000 0.1267
5 La 0.0000 0.5000 0.3836
6 La 0.0000 0.5000 0.6164
7 La 0.0000 0.5000 0.8733
8 La 0.5000 0.0000 0.1267
9 La 0.5000 0.0000 0.3836
10 La 0.5000 0.0000 0.6164
11 La 0.5000 0.0000 0.8733
12 La 0.5000 0.5000 0.0000
13 La 0.5000 0.5000 0.2522
14 La 0.5000 0.5000 0.5000
15 La 0.5000 0.5000 0.7478
16 Th 0.0000 0.0000 0.5000

Calculated values
- Total magnetization: 0.00 μB/cell
- E_form: 16 meV/atom
- Calculated total energy: -78.61 eV for the cell shown

=====

VASP calculation (PBE) on a relaxed structure of Ac12La6Th.

abc: 10.3145 10.3145 10.3145
angles: 111.01 111.01 111.01
Fractional coordinates of all 19 atoms:
1 Ac 0.0669 0.3789 0.5870
2 Ac 0.1003 0.7406 0.1517
3 Ac 0.1517 0.1003 0.7406
4 Ac 0.2594 0.8483 0.8997
5 Ac 0.3789 0.5870 0.0669
6 Ac 0.4130 0.9331 0.6211
7 Ac 0.5870 0.0669 0.3789
8 Ac 0.6211 0.4130 0.9331
9 Ac 0.7406 0.1517 0.1003
10 Ac 0.8483 0.8997 0.2594
11 Ac 0.8997 0.2594 0.8483
12 Ac 0.9331 0.6211 0.4130
13 La 0.2109 0.4574 0.3105
14 La 0.3105 0.2109 0.4574
15 La 0.4574 0.3105 0.2109
16 La 0.5426 0.6895 0.7891
17 La 0.6895 0.7891 0.5426
18 La 0.7891 0.5426 0.6895
19 Th 0.0000 0.0000 0.0000

Calculated values
- Total magnetization: 0.00 μB/cell
- E_form: 39 meV/atom
- Calculated total energy: -85.55 eV for the cell shown

=====

VASP calculation (PBE) on a relaxed structure of AcLaTh2.

abc: 4.3756 4.3756 7.5142
angles: 90.00 90.00 90.00
Fractional coordinates of all 4 atoms:
1 Ac 0.0000 0.0000 0.0000
2 La 0.0000 0.0000 0.5000
3 Th 0.5000 0.5000 0.2809
4 Th 0.5000 0.5000 0.7191

Calculated values
- Total magnetization: 0.00 μB/cell
- E_form: 217 meV/atom
- Calculated total energy: -23.01 eV for the cell shown
- Polymorph energy (0 for the lowest one): 0.1058 eV per atom

=====

VASP calculation (PBE) on a relaxed structure of AcLa2Th.

abc: 3.7369 3.7369 36.9639
angles: 90.00 90.00 120.00
Fractional coordinates of all 12 atoms:
1 Ac 0.0000 0.0000 0.0000
2 Ac 0.3333 0.6667 0.6667
3 Ac 0.6667 0.3333 0.3333
4 La 0.0000 0.0000 0.2445
5 La 0.0000 0.0000 0.7555
6 La 0.3333 0.6667 0.4221
7 La 0.3333 0.6667 0.9112
8 La 0.6667 0.3333 0.0888
9 La 0.6667 0.3333 0.5779
10 Th 0.0000 0.0000 0.5000
11 Th 0.3333 0.6667 0.1667
12 Th 0.6667 0.3333 0.8333

Calculated values
- Total magnetization: 0.00 μB/cell
- E_form: 47 meV/atom
- Calculated total energy: -63.58 eV for the cell shown
- Polymorph energy (0 for the lowest one): 0.0183 eV per atom